1.
First-principles (GGA-PBE) data for an optimized crystal structure of HgBiRuBr2, as listed in Alexandria.

abc: 5.380 5.513 5.380
angles: 90.00 90.00 90.00
Last column: magnetic moment on the atom in μB.
Atoms (fractional coordinates):
Ru 0.000 0.500 0.000  2.32
Bi 0.500 0.500 0.500  -0.60
Br 0.000 0.000 0.500  -0.01
Br 0.500 0.000 0.000  -0.01
Hg 0.000 0.000 0.000  0.00

Output
Uncorrected formation energy, meV/atom: 1054
Total DFT energy (no corrections), eV for the cell shown: -11.53



2.
First-principles (GGA-PBE) data for an optimized crystal structure of Na2SbOs2, as listed in Alexandria.

abc: 6.574 6.574 5.108
angles: 90.00 90.00 90.00
Atoms (fractional coordinates):
Sb 0.000 0.000 0.000
Sb 0.500 0.500 0.000
Os 0.373 0.873 0.000
Os 0.873 0.627 0.000
Os 0.627 0.127 0.000
Os 0.127 0.373 0.000
Na 0.166 0.666 0.500
Na 0.666 0.834 0.500
Na 0.834 0.334 0.500
Na 0.334 0.166 0.500

Output
Uncorrected formation energy, meV/atom: 549
Total DFT energy (no corrections), eV for the cell shown: -52.95
Polymorph energy (0 for the lowest one), meV per atom: 0.0



3.
First-principles (GGA-PBE) data for an optimized crystal structure of Os5W, as listed in Alexandria.

abc: 4.802 4.802 4.381
angles: 90.00 90.00 120.00
Atoms (fractional coordinates):
Os 0.994 0.000 0.000
Os 0.672 0.339 0.000
Os 0.333 0.661 0.000
Os 0.000 0.333 0.500
Os 0.667 0.667 0.500
W 0.333 0.000 0.500

Output
E_form, eV/atom: -0.03
Total DFT energy (no corrections), eV for the cell shown: -69.28
Polymorph energy (0 for the lowest one), meV per atom: 0.0



Spin magnetization readings, ordered: 1.7 0.0 0.0 μB/cell